(1)
# LiReSn | OQMD | PBE | relaxed
# Crystal system ... cubic
# Size of the total moment ... 1.25 μB/f.u.
# Raw total energy ... -5.315 eV per atom
data_LiReSn
_chemical_formula_sum 'Li1 Re1 Sn1'
_cell_length_a 4.395
_cell_length_b 4.395
_cell_length_c 4.395
_cell_angle_alpha 60.00
_cell_angle_beta 60.00
_cell_angle_gamma 60.00
_space_group_name_H-M_alt 'P 1'
_space_group_IT_number 1
loop_
_space_group_symop_operation_xyz
'x,y,z'
loop_
_atom_site_label
_atom_site_fract_x
_atom_site_fract_y
_atom_site_fract_z
Li1 0.000 0.000 0.000
Re1 0.500 0.500 0.500
Sn1 0.250 0.250 0.250

(2)
# Nd2Al3In3 | OQMD | PBE | relaxed
# Crystal system ... hexagonal
# Size of the total moment ... 0.01 μB/f.u.
# Raw total energy ... -4.004 eV per atom
data_Nd2Al3In3
_chemical_formula_sum 'Nd2 Al3 In3'
_cell_length_a 6.700
_cell_length_b 6.700
_cell_length_c 4.864
_cell_angle_alpha 90.00
_cell_angle_beta 90.00
_cell_angle_gamma 120.00
_space_group_name_H-M_alt 'P 1'
_space_group_IT_number 1
loop_
_space_group_symop_operation_xyz
'x,y,z'
loop_
_atom_site_label
_atom_site_fract_x
_atom_site_fract_y
_atom_site_fract_z
Nd1 0.000 0.000 0.000
Nd2 0.333 0.667 0.500
Al1 0.383 0.191 0.500
Al2 0.809 0.191 0.500
Al3 0.809 0.617 0.500
In1 0.513 0.026 0.000
In2 0.513 0.487 0.000
In3 0.974 0.487 0.000

(3)
# Gd3SeN2 | OQMD | PBE | relaxed
# Crystal system ... trigonal
# Size of the total moment ... 0.00 μB/f.u.
# Raw total energy ... -7.363 eV per atom
data_Gd3SeN2
_chemical_formula_sum 'Gd3 Se1 N2'
_cell_length_a 3.635
_cell_length_b 3.635
_cell_length_c 9.448
_cell_angle_alpha 90.00
_cell_angle_beta 90.00
_cell_angle_gamma 120.00
_space_group_name_H-M_alt 'P 1'
_space_group_IT_number 1
loop_
_space_group_symop_operation_xyz
'x,y,z'
loop_
_atom_site_label
_atom_site_fract_x
_atom_site_fract_y
_atom_site_fract_z
Gd1 0.000 0.000 0.000
Gd2 0.333 0.667 0.287
Gd3 0.667 0.333 0.713
Se1 0.000 0.000 0.500
N1 0.333 0.667 0.844
N2 0.667 0.333 0.156